(1)
First-principles (PBE) data for a relaxed structure of LiTl2ZnF6, as listed in the Open Quantum Materials Database.

Summary:
SG: P2_1/c
Raw total energy in eV/cell: -79.94
Crystal system: monoclinic

a = 5.6262 Å, b = 5.6136 Å, c = 9.7233 Å
α = 90.00°, β = 125.25°, γ = 90.00°
Fractional positions:
1 Li 0.0000 0.0000 0.0000
2 Li 0.0000 0.5000 0.5000
3 Tl 0.2470 0.0203 0.7495
4 Tl 0.2470 0.4797 0.2495
5 Tl 0.7530 0.5203 0.7505
6 Tl 0.7530 0.9797 0.2505
7 Zn 0.5000 0.0000 0.5000
8 Zn 0.5000 0.5000 0.0000
9 F 0.2011 0.2282 0.4782
10 F 0.2011 0.2718 0.9782
11 F 0.2497 0.7232 0.4781
12 F 0.2497 0.7768 0.9781
13 F 0.2901 0.9996 0.2472
14 F 0.2901 0.5004 0.7472
15 F 0.7099 0.0004 0.7528
16 F 0.7099 0.4996 0.2528
17 F 0.7503 0.2232 0.0219
18 F 0.7503 0.2768 0.5219
19 F 0.7989 0.7282 0.0218
20 F 0.7989 0.7718 0.5218

(2)
First-principles (PBE) data for a relaxed structure of RbPrTmTe3, as listed in the Open Quantum Materials Database.

Summary:
SG: Pnma
Size of the total moment in μB per formula unit: 0.01
Raw total energy in eV/cell: -108.38
Crystal system: orthorhombic

a = 11.7835 Å, b = 5.2475 Å, c = 14.3594 Å
α = 90.00°, β = 90.00°, γ = 90.00°
Fractional positions:
1 Rb 0.1628 0.2500 0.0222
2 Rb 0.3372 0.7500 0.5222
3 Rb 0.6628 0.2500 0.4778
4 Rb 0.8372 0.7500 0.9778
5 Pr 0.0239 0.2500 0.3371
6 Pr 0.4761 0.7500 0.8371
7 Pr 0.5239 0.2500 0.1629
8 Pr 0.9761 0.7500 0.6629
9 Tm 0.2063 0.2500 0.7365
10 Tm 0.2937 0.7500 0.2365
11 Tm 0.7063 0.2500 0.7635
12 Tm 0.7937 0.7500 0.2635
13 Te 0.0478 0.7500 0.1919
14 Te 0.1073 0.2500 0.5545
15 Te 0.1983 0.7500 0.8232
16 Te 0.3017 0.2500 0.3232
17 Te 0.3927 0.7500 0.0545
18 Te 0.4522 0.2500 0.6919
19 Te 0.5478 0.7500 0.3081
20 Te 0.6073 0.2500 0.9455
21 Te 0.6983 0.7500 0.6768
22 Te 0.8017 0.2500 0.1768
23 Te 0.8927 0.7500 0.4455
24 Te 0.9522 0.2500 0.8081

(3)
First-principles (PBE) data for a relaxed structure of NpNbZn, as listed in the Open Quantum Materials Database.

Summary:
SG: F-43m
ΔE_f in eV per atom: 0.836
Size of the total moment in μB per formula unit: 3.98
Crystal system: cubic

a = 4.5413 Å, b = 4.5413 Å, c = 4.5413 Å
α = 60.00°, β = 60.00°, γ = 60.00°
Fractional positions:
1 Np 0.0000 0.0000 0.0000
2 Nb 0.5000 0.5000 0.5000
3 Zn 0.7500 0.7500 0.7500

(4)
First-principles (PBE) data for a relaxed structure of Fe2TcSn, as listed in the Open Quantum Materials Database.

Summary:
SG: F-43m
Size of the total moment in μB per formula unit: 5.01
Raw total energy in eV/cell: -30.33
Crystal system: cubic

a = 4.3488 Å, b = 4.3488 Å, c = 4.3488 Å
α = 60.00°, β = 60.00°, γ = 60.00°
Fractional positions:
1 Fe 0.0000 0.0000 0.0000
2 Fe 0.2500 0.2500 0.2500
3 Tc 0.7500 0.7500 0.7500
4 Sn 0.5000 0.5000 0.5000